[1]
This record from Alexandria describes a relaxed structure of Na3Li3Rh2F12. The functional is PBE. Values from VASP.

Structure (Quantum ESPRESSO input):
```
&SYSTEM
  ibrav = 0, nat = 80, ntyp = 4
/
ATOMIC_SPECIES
Na 22.99 Na.upf
Li 6.94 Li.upf
Rh 102.91 Rh.upf
F 19.00 F.upf
ATOMIC_POSITIONS crystal
Na 0.125 0.250 0.375
Na 0.125 0.375 0.750
Na 0.250 0.375 0.125
Na 0.250 0.875 0.625
Na 0.375 0.125 0.250
Na 0.375 0.750 0.125
Na 0.625 0.250 0.875
Na 0.625 0.875 0.750
Na 0.750 0.125 0.375
Na 0.750 0.625 0.875
Na 0.875 0.625 0.250
Na 0.875 0.750 0.625
Li 0.125 0.750 0.875
Li 0.125 0.875 0.250
Li 0.250 0.125 0.875
Li 0.250 0.625 0.375
Li 0.375 0.250 0.625
Li 0.375 0.625 0.750
Li 0.625 0.375 0.250
Li 0.625 0.750 0.375
Li 0.750 0.375 0.625
Li 0.750 0.875 0.125
Li 0.875 0.125 0.750
Li 0.875 0.250 0.125
Rh 0.000 0.000 0.000
Rh 0.000 0.000 0.500
Rh 0.000 0.500 0.000
Rh 0.000 0.500 0.500
Rh 0.500 0.000 0.000
Rh 0.500 0.000 0.500
Rh 0.500 0.500 0.000
Rh 0.500 0.500 0.500
F 0.023 0.200 0.119
F 0.023 0.323 0.903
F 0.080 0.700 0.677
F 0.080 0.881 0.403
F 0.097 0.619 0.420
F 0.097 0.977 0.677
F 0.119 0.023 0.200
F 0.119 0.597 0.920
F 0.177 0.200 0.580
F 0.177 0.477 0.597
F 0.200 0.119 0.023
F 0.200 0.580 0.177
F 0.300 0.323 0.920
F 0.300 0.477 0.381
F 0.323 0.903 0.023
F 0.323 0.920 0.300
F 0.381 0.300 0.477
F 0.381 0.580 0.903
F 0.403 0.080 0.881
F 0.403 0.823 0.523
F 0.420 0.097 0.619
F 0.420 0.823 0.800
F 0.477 0.381 0.300
F 0.477 0.597 0.177
F 0.523 0.403 0.823
F 0.523 0.619 0.700
F 0.580 0.177 0.200
F 0.580 0.903 0.381
F 0.597 0.177 0.477
F 0.597 0.920 0.119
F 0.619 0.420 0.097
F 0.619 0.700 0.523
F 0.677 0.080 0.700
F 0.677 0.097 0.977
F 0.700 0.523 0.619
F 0.700 0.677 0.080
F 0.800 0.420 0.823
F 0.800 0.881 0.977
F 0.823 0.523 0.403
F 0.823 0.800 0.420
F 0.881 0.403 0.080
F 0.881 0.977 0.800
F 0.903 0.023 0.323
F 0.903 0.381 0.580
F 0.920 0.119 0.597
F 0.920 0.300 0.323
F 0.977 0.677 0.097
F 0.977 0.800 0.881
CELL_PARAMETERS angstrom
-6.316 6.316 6.316
6.316 -6.316 6.316
6.316 6.316 -6.316
```

- E_form (uncorrected) (eV per atom) = -2.3879
- Fermi-level density of states (states/eV/f.u.) = 0.0
- total magnetization (μB/cell) = 1.417

[2]
This record from Alexandria describes a relaxed structure of NaLiRhF5. The functional is PBE. Values from VASP.

Structure (Quantum ESPRESSO input):
```
&SYSTEM
  ibrav = 0, nat = 16, ntyp = 4
/
ATOMIC_SPECIES
Na 22.99 Na.upf
Li 6.94 Li.upf
Rh 102.91 Rh.upf
F 19.00 F.upf
ATOMIC_POSITIONS crystal
Na 0.149 0.851 0.750
Na 0.851 0.149 0.250
Li 0.190 0.810 0.250
Li 0.810 0.190 0.750
Rh 0.500 0.500 0.000
Rh 0.500 0.500 0.500
F 0.129 0.247 0.932
F 0.186 0.566 0.381
F 0.247 0.129 0.432
F 0.410 0.590 0.750
F 0.434 0.814 0.119
F 0.566 0.186 0.881
F 0.590 0.410 0.250
F 0.753 0.871 0.568
F 0.814 0.434 0.619
F 0.871 0.753 0.068
CELL_PARAMETERS angstrom
3.312 -4.683 0.000
3.312 4.683 0.000
-2.835 0.000 6.764
```

- E_form (uncorrected) (eV per atom) = -2.2340
- total magnetization (μB/cell) = 0.000

[3]
This record from Alexandria describes a relaxed structure of NaLiRhF6. The functional is PBE. Values from VASP.

Structure (Quantum ESPRESSO input):
```
&SYSTEM
  ibrav = 0, nat = 18, ntyp = 4
/
ATOMIC_SPECIES
Na 22.99 Na.upf
Li 6.94 Li.upf
Rh 102.91 Rh.upf
F 19.00 F.upf
ATOMIC_POSITIONS crystal
Na 0.000 0.000 0.000
Na 0.000 0.000 0.500
Li 0.333 0.667 0.250
Li 0.667 0.333 0.750
Rh 0.333 0.667 0.750
Rh 0.667 0.333 0.250
F 0.017 0.365 0.641
F 0.017 0.652 0.859
F 0.348 0.365 0.859
F 0.348 0.983 0.641
F 0.365 0.017 0.141
F 0.365 0.348 0.359
F 0.635 0.652 0.641
F 0.635 0.983 0.859
F 0.652 0.017 0.359
F 0.652 0.635 0.141
F 0.983 0.348 0.141
F 0.983 0.635 0.359
CELL_PARAMETERS angstrom
5.261 0.000 0.000
-2.630 4.556 0.000
0.000 0.000 9.928
```

- E_form (uncorrected) (eV per atom) = -2.1734
- Fermi-level density of states (states/eV/f.u.) = 9.7
- total magnetization (μB/cell) = 2.021

[4]
This record from Alexandria describes a relaxed structure of Na2Li3RhF12. The functional is PBE. Values from VASP.

Structure (Quantum ESPRESSO input):
```
&SYSTEM
  ibrav = 0, nat = 18, ntyp = 4
/
ATOMIC_SPECIES
Na 22.99 Na.upf
Li 6.94 Li.upf
Rh 102.91 Rh.upf
F 19.00 F.upf
ATOMIC_POSITIONS crystal
Na 0.072 0.072 0.072
Na 0.928 0.928 0.928
Li 0.000 0.500 0.500
Li 0.500 0.000 0.500
Li 0.500 0.500 0.000
Rh 0.500 0.500 0.500
F 0.153 0.153 0.597
F 0.153 0.597 0.153
F 0.177 0.587 0.587
F 0.403 0.847 0.847
F 0.413 0.413 0.823
F 0.413 0.823 0.413
F 0.587 0.177 0.587
F 0.587 0.587 0.177
F 0.597 0.153 0.153
F 0.823 0.413 0.413
F 0.847 0.403 0.847
F 0.847 0.847 0.403
CELL_PARAMETERS angstrom
3.266 1.885 7.352
-3.266 1.885 7.352
0.000 -3.771 7.352
```

- E_form (uncorrected) (eV per atom) = -1.9619
- Fermi-level density of states (states/eV/f.u.) = 12.2
- total magnetization (μB/cell) = 4.001

[5]
This record from Alexandria describes a relaxed structure of Na2LiRuF6. The functional is PBE. Values from VASP.

Structure (Quantum ESPRESSO input):
```
&SYSTEM
  ibrav = 0, nat = 20, ntyp = 4
/
ATOMIC_SPECIES
Na 22.99 Na.upf
Li 6.94 Li.upf
Ru 101.07 Ru.upf
F 19.00 F.upf
ATOMIC_POSITIONS crystal
Na 0.229 0.060 0.247
Na 0.229 0.440 0.747
Na 0.771 0.560 0.253
Na 0.771 0.940 0.753
Li 0.000 0.000 0.500
Li 0.000 0.500 0.000
Ru 0.500 0.000 0.000
Ru 0.500 0.500 0.500
F 0.146 0.199 0.947
F 0.146 0.301 0.447
F 0.250 0.705 0.943
F 0.250 0.795 0.443
F 0.359 0.037 0.753
F 0.359 0.463 0.253
F 0.641 0.537 0.747
F 0.641 0.963 0.247
F 0.750 0.205 0.557
F 0.750 0.295 0.057
F 0.854 0.699 0.553
F 0.854 0.801 0.053
CELL_PARAMETERS angstrom
5.450 0.000 0.000
0.000 5.648 0.000
-5.374 0.000 7.831
```

- E_form (uncorrected) (eV per atom) = -2.3452
- Fermi-level density of states (states/eV/f.u.) = 10.9
- total magnetization (μB/cell) = 2.001
- energy relative to the lowest polymorph listed for this composition (meV per atom) = 0

[6]
This record from Alexandria describes a relaxed structure of Na2Li3RuF12. The functional is PBE. Values from VASP.

Structure (Quantum ESPRESSO input):
```
&SYSTEM
  ibrav = 0, nat = 18, ntyp = 4
/
ATOMIC_SPECIES
Na 22.99 Na.upf
Li 6.94 Li.upf
Ru 101.07 Ru.upf
F 19.00 F.upf
ATOMIC_POSITIONS crystal
Na 0.072 0.072 0.072
Na 0.928 0.928 0.928
Li 0.000 0.500 0.500
Li 0.500 0.000 0.500
Li 0.500 0.500 0.000
Ru 0.500 0.500 0.500
F 0.154 0.154 0.597
F 0.154 0.597 0.154
F 0.180 0.583 0.583
F 0.403 0.846 0.846
F 0.417 0.417 0.820
F 0.417 0.820 0.417
F 0.583 0.180 0.583
F 0.583 0.583 0.180
F 0.597 0.154 0.154
F 0.820 0.417 0.417
F 0.846 0.403 0.846
F 0.846 0.846 0.403
CELL_PARAMETERS angstrom
3.312 1.912 7.121
-3.312 1.912 7.121
0.000 -3.825 7.121
```

- E_form (uncorrected) (eV per atom) = -2.0700
- Fermi-level density of states (states/eV/f.u.) = 17.7
- total magnetization (μB/cell) = 4.616

[7]
This record from Alexandria describes a relaxed structure of Na2LiRuF6. The functional is PBE. Values from VASP.

Structure (Quantum ESPRESSO input):
```
&SYSTEM
  ibrav = 0, nat = 10, ntyp = 4
/
ATOMIC_SPECIES
Na 22.99 Na.upf
Li 6.94 Li.upf
Ru 101.07 Ru.upf
F 19.00 F.upf
ATOMIC_POSITIONS crystal
Na 0.250 0.250 0.250
Na 0.750 0.750 0.750
Li 0.000 0.000 0.000
Ru 0.500 0.500 0.500
F 0.248 0.248 0.752
F 0.248 0.752 0.248
F 0.248 0.752 0.752
F 0.752 0.248 0.248
F 0.752 0.248 0.752
F 0.752 0.752 0.248
CELL_PARAMETERS angstrom
0.000 3.989 3.989
3.989 0.000 3.989
3.989 3.989 0.000
```

- E_form (uncorrected) (eV per atom) = -2.2874
- Fermi-level density of states (states/eV/f.u.) = 9.8
- total magnetization (μB/cell) = 1.001
- energy relative to the lowest polymorph listed for this composition (meV per atom) = 58

[8]
This record from Alexandria describes a relaxed structure of Na2LiSF. The functional is PBE. Values from VASP.

Structure (Quantum ESPRESSO input):
```
&SYSTEM
  ibrav = 0, nat = 5, ntyp = 4
/
ATOMIC_SPECIES
Na 22.99 Na.upf
Li 6.94 Li.upf
S 32.06 S.upf
F 19.00 F.upf
ATOMIC_POSITIONS crystal
Na 0.000 0.500 0.000
Na 0.500 0.000 0.000
Li 0.000 0.000 0.500
S 0.500 0.500 0.500
F 0.000 0.000 0.000
CELL_PARAMETERS angstrom
4.431 0.000 0.000
0.000 4.431 0.000
0.000 0.000 4.023
```

- E_form (uncorrected) (eV per atom) = -1.7020
- Fermi-level density of states (states/eV/f.u.) = 0.0
- total magnetization (μB/cell) = 0.000